InGa2HgPt: optimized geometry, PBE.

The structure belongs to space group P4/mmm (No. 123); the cell edges are 4.871, 4.871 and 5.334 Å and the angles 90.00°, 90.00° and 90.00°. Symmetry generates all atoms from In at (0.000, 0.000, 0.000), Ga at (0.000, 0.500, 0.500), Hg at (0.500, 0.500, 0.000) and Pt at (0.000, 0.000, 0.500).

The density comes out at 8.5 g/cm³. The energy of formation comes out at -0.217 eV per atom. Its crystal system is tetragonal.

---

LaBeSe2: optimized geometry, PBE.

The structure belongs to space group Immm (No. 71); the cell edges are 3.618, 5.699 and 8.284 Å and the angles 90.00°, 90.00° and 90.00°. Symmetry generates all atoms from La at (0.000, 0.000, 0.000), Be at (0.000, 0.000, 0.500) and Se at (0.000, 0.500, 0.183).

The density comes out at 5.9 g/cm³. Its uncorrected formation energy is -960 meV/atom. Its crystal system is orthorhombic.

---

NdEr2Ru: optimized geometry, PBE.

The structure belongs to space group P4/mmm (No. 123); the cell edges are 3.426, 3.426 and 8.979 Å and the angles 90.00°, 90.00° and 90.00°. Symmetry generates all atoms from Nd at (0.000, 0.000, 0.000), Er at (0.500, 0.500, 0.320) and Ru at (0.000, 0.000, 0.500).

The density comes out at 9.1 g/cm³. The energy of formation comes out at -0.267 eV per atom. Its crystal system is tetragonal. The excess energy over the best structure of this formula in the dataset is 0.12 eV/f.u.

---

Zr2Zn3Os: optimized geometry, PBE.

The structure belongs to space group R-3m (No. 166, hexagonal axes); the cell edges are 5.1623, 5.1623 and 12.9987 Å and the angles 90.00°, 90.00° and 120.00°. Symmetry generates all atoms from Zr at (0.0000, 0.0000, 0.1269), Zn at (0.0000, 0.5000, 0.0000) and Os at (0.0000, 0.0000, 0.5000).

The density comes out at 9.4 g/cm³. The energy of formation comes out at -0.287 eV per atom. Its crystal system is trigonal.

---

Lu2TlS: optimized geometry, PBE.

The structure belongs to space group R-3m (No. 166, hexagonal axes); the cell edges are 3.7205, 3.7205 and 23.4955 Å and the angles 90.00°, 90.00° and 120.00°. Symmetry generates all atoms from Lu at (0.0000, 0.0000, 0.2340), Tl at (0.0000, 0.0000, 0.0000) and S at (0.0000, 0.0000, 0.5000).

The density comes out at 10.4 g/cm³. Its uncorrected formation energy is -1106 meV/atom. Its crystal system is trigonal.

---

ZrNp2O11: optimized geometry, PBE.

The structure belongs to space group Ibam (No. 72); the cell edges are 8.245, 9.561 and 10.223 Å and the angles 90.00°, 90.00° and 90.00°. Symmetry generates all atoms from Zr at (0.000, 0.000, 0.250), Np at (0.192, 0.288, 0.000), O at (0.000, 0.500, 0.000), O at (0.083, 0.340, 0.500), O at (0.107, 0.165, 0.134) and O at (0.209, 0.098, 0.368).

The density comes out at 6.1 g/cm³. Its uncorrected formation energy is -1983 meV/atom. Its crystal system is orthorhombic.

---

NiPAu: optimized geometry, PBE.

The structure belongs to space group I4mm (No. 107); the cell edges are 2.861, 2.861 and 10.784 Å and the angles 90.00°, 90.00° and 90.00°. Symmetry generates all atoms from Ni at (0.000, 0.000, 0.000), P at (0.000, 0.000, 0.602) and Au at (0.000, 0.000, 0.316).

The density comes out at 10.8 g/cm³. The energy of formation comes out at -0.008 eV per atom. Its crystal system is tetragonal.

---

GeBH: optimized geometry, PBE.

The structure belongs to space group Pnma (No. 62); the cell edges are 6.636, 3.108 and 6.125 Å and the angles 90.00°, 90.00° and 90.00°. Symmetry generates all atoms from Ge at (0.211, 0.250, 0.162), B at (0.023, 0.250, 0.449) and H at (0.108, 0.250, 0.927).

The density comes out at 4.4 g/cm³. Its crystal system is orthorhombic. The excess energy over the best structure of this formula in the dataset is 0.71 eV/f.u.